No. 1
# CsCr2Ni2

A geometry-optimized CsCr2Ni2 structure (PBE-GGA, Alexandria).

Calculated values
ΔH_f (0 K): 0.86 eV per atom
energy relative to the lowest polymorph listed for this composition: 0.00 eV/f.u.

a = 3.4382 Å, b = 3.4382 Å, c = 8.7334 Å
α = 78.65°, β = 78.65°, γ = 90.00°
Last column: nearest neighbours and their distance in Å.
Element x y z (fractional)
Cr  0.2500  0.7500  0.5000  4 Ni 2.38, 4 Cr 2.43
Cr  0.7500  0.2500  0.5000  4 Ni 2.38, 4 Cr 2.43
Cs  0.0000  0.0000  0.0000  4 Cs 3.44, 8 Ni 3.52
Ni  0.3485  0.3485  0.3030  4 Cr 2.38
Ni  0.6515  0.6515  0.6970  4 Cr 2.38

---

No. 2
# Er4Zn2Ag

A geometry-optimized Er4Zn2Ag structure (PBE-GGA, Alexandria).

Calculated values
ΔH_f (0 K): -0.18 eV per atom
energy relative to the lowest polymorph listed for this composition: 0.00 eV/f.u.

a = 4.9922 Å, b = 4.9922 Å, c = 8.5431 Å
α = 73.01°, β = 73.01°, γ = 60.00°
Last column: nearest neighbours and their distance in Å.
Element x y z (fractional)
Ag  0.0000  0.0000  0.0000  8 Er 3.09-3.10
Zn  0.2506  0.2506  0.2480  8 Er 2.95-3.12
Zn  0.7494  0.7494  0.7520  8 Er 2.95-3.12
Er  0.6202  0.6202  0.1394  4 Zn 3.01-3.12, 3 Ag 3.09
Er  0.1285  0.1285  0.6144  4 Zn 2.95-3.09, 1 Ag 3.10
Er  0.3798  0.3798  0.8606  4 Zn 3.01-3.12, 3 Ag 3.09
Er  0.8715  0.8715  0.3856  4 Zn 2.95-3.09, 1 Ag 3.10

---

No. 3
# K3HClF

A geometry-optimized K3HClF structure (PBE-GGA, Alexandria).

Calculated values
raw total energy: -3.3326 eV/atom

a = 4.1553 Å, b = 7.1582 Å, c = 10.5558 Å
α = 102.36°, β = 90.00°, γ = 90.00°
Last column: nearest neighbours and their distance in Å.
Element x y z (fractional)
K  0.7500  0.0344  0.1604  1 F 2.60, 1 H 2.88
K  0.2500  0.7797  0.4830  3 F 2.62-2.71
K  0.7500  0.2203  0.5170  3 F 2.62-2.71
K  0.7500  0.5628  0.1636  1 F 2.65, 3 H 2.86-2.94
K  0.2500  0.4372  0.8364  1 F 2.65, 3 H 2.86-2.94
K  0.2500  0.9656  0.8396  1 F 2.60, 1 H 2.88
Cl  0.7500  0.6531  0.6912  7 K 3.17-3.29
Cl  0.2500  0.3469  0.3088  7 K 3.17-3.29
F  0.7500  0.8687  0.3569  5 K 2.60-2.71
F  0.2500  0.1313  0.6431  5 K 2.60-2.71
H  0.7500  0.2369  0.9522  6 K 2.86-2.94
H  0.2500  0.7631  0.0478  6 K 2.86-2.94

---

No. 4
# U2FeCo9

A geometry-optimized U2FeCo9 structure (PBE-GGA, Alexandria).

Calculated values
ΔH_f (0 K): -0.14 eV per atom

a = 3.7322 Å, b = 3.7322 Å, c = 10.7743 Å
α = 90.00°, β = 90.00°, γ = 90.00°
Last column: nearest neighbours and their distance in Å.
Element x y z (fractional)
Co  0.5000  0.5000  0.6736  4 U 2.64, 8 Co 2.64
Co  0.5000  0.5000  0.3264  4 U 2.64, 8 Co 2.64
Co  0.5000  0.0000  0.8472  2 Fe 2.49, 8 Co 2.49-2.64, 2 U 2.62
Co  0.0000  0.5000  0.5000  8 Co 2.64, 4 U 2.66
Co  0.5000  0.5000  0.0000  8 Co 2.49, 4 Fe 2.64
Co  0.0000  0.5000  0.8472  8 Co 2.49-2.64, 2 Fe 2.49, 2 U 2.62
Co  0.5000  0.0000  0.5000  8 Co 2.64, 4 U 2.66
Co  0.0000  0.5000  0.1528  8 Co 2.49-2.64, 2 Fe 2.49, 2 U 2.62
Co  0.5000  0.0000  0.1528  2 Fe 2.49, 8 Co 2.49-2.64, 2 U 2.62
U  0.0000  0.0000  0.6759  12 Co 2.62-2.66
U  0.0000  0.0000  0.3241  12 Co 2.62-2.66
Fe  0.0000  0.0000  0.0000  12 Co 2.49-2.64

---

No. 5
# KZnIr2Br

A geometry-optimized KZnIr2Br structure (PBE-GGA, Alexandria).

Calculated values
formation energy from raw total energies: 1226 meV per atom

a = 4.6841 Å, b = 6.0877 Å, c = 4.6841 Å
α = 90.00°, β = 90.00°, γ = 90.00°
Last column: nearest neighbours and their distance in Å.
Element x y z (fractional)
Zn  0.0000  0.5000  0.0000  2 Br 3.04, 4 K 3.31
K  0.5000  0.5000  0.5000  4 Zn 3.31
Ir  0.5000  0.0000  0.0000  2 Br 2.34
Ir  0.0000  0.0000  0.5000  2 Br 2.34
Br  0.0000  0.0000  0.0000  4 Ir 2.34

---

No. 6
# La4Er7Th

A geometry-optimized La4Er7Th structure (PBE-GGA, Alexandria).

Calculated values
ΔH_f (0 K): 0.28 eV per atom

a = 5.9817 Å, b = 11.7715 Å, c = 6.7902 Å
α = 83.90°, β = 63.87°, γ = 75.28°
Last column: nearest neighbours and their distance in Å.
Element x y z (fractional)
Er  0.2133  0.0757  0.4978  4 Er 3.15-3.45, 1 Th 3.19, 4 La 3.38-3.44
Er  0.7867  0.9243  0.5022  4 Er 3.15-3.45, 1 Th 3.19, 4 La 3.38-3.44
Er  0.6322  0.5063  0.2293  5 La 3.28-3.65, 4 Er 3.30-3.66
Er  0.9310  0.3108  0.8272  4 Er 3.30-3.66
Er  0.0690  0.6892  0.1728  4 Er 3.30-3.66
Er  0.3678  0.4937  0.7707  5 La 3.28-3.65, 4 Er 3.30-3.66
Er  0.5000  0.0000  0.0000  2 Th 2.99, 2 Er 3.15
La  0.7804  0.6614  0.7778  4 Er 3.28-3.55
La  0.6383  0.2216  0.5018  7 Er 3.38-3.73, 2 La 3.70
La  0.2196  0.3386  0.2222  4 Er 3.28-3.55
La  0.3617  0.7784  0.4982  7 Er 3.38-3.73, 2 La 3.70
Th  0.0000  0.0000  0.0000  4 Er 2.99-3.19

---

No. 7
# NaLa2Te

A geometry-optimized NaLa2Te structure (PBE-GGA, Alexandria).

Calculated values
formation energy from raw total energies: -355 meV per atom

a = 9.0254 Å, b = 9.0254 Å, c = 7.2419 Å
α = 51.45°, β = 51.45°, γ = 90.00°
Last column: nearest neighbours and their distance in Å.
Element x y z (fractional)
Na  0.5000  0.5000  0.0000  2 Te 3.42, 4 La 3.45
Na  0.2500  0.7500  0.5000  2 Te 3.42, 4 La 3.45
La  0.1025  0.6250  0.2500  2 Te 3.17, 2 Na 3.45, 2 La 3.45
La  0.6475  0.1250  0.2500  2 Te 3.17, 2 Na 3.45, 2 La 3.45
La  0.8750  0.8975  0.7500  2 Te 3.17, 2 Na 3.45, 2 La 3.45
La  0.3750  0.3525  0.7500  2 Te 3.17, 2 Na 3.45, 2 La 3.45
Te  0.7500  0.2500  0.5000  4 La 3.17, 2 Na 3.42
Te  0.0000  0.0000  0.0000  4 La 3.17, 2 Na 3.42

---

No. 8
# RbBe2TlBr6

A geometry-optimized RbBe2TlBr6 structure (PBE-GGA, Alexandria).

Calculated values
formation energy from raw total energies: -1116 meV per atom

a = 9.1995 Å, b = 9.1995 Å, c = 10.1215 Å
α = 103.60°, β = 103.60°, γ = 99.32°
Last column: nearest neighbours and their distance in Å.
Element x y z (fractional)
Br  0.5177  0.2966  0.8784  1 Be 2.09
Br  0.2198  0.1574  0.1104  1 Be 2.08
Br  0.3684  0.9216  0.6271  1 Be 2.08
Br  0.6316  0.0784  0.3729  1 Be 2.08
Br  0.0784  0.6316  0.8729  1 Be 2.08
Br  0.2966  0.5177  0.3784  1 Be 2.09
Br  0.1574  0.2198  0.6104  1 Be 2.08
Br  0.4823  0.7034  0.1216  1 Be 2.09
Br  0.7034  0.4823  0.6216  1 Be 2.09
Br  0.9216  0.3684  0.1271  1 Be 2.08
Br  0.7802  0.8426  0.8896  1 Be 2.08
Br  0.8426  0.7802  0.3896  1 Be 2.08
Rb  0.8322  0.1678  0.7500  6 Br 3.61-3.69
Rb  0.1678  0.8322  0.2500  6 Br 3.61-3.69
Be  0.1419  0.3425  0.2084  3 Br 2.08-2.09
Be  0.6575  0.8581  0.2916  3 Br 2.08-2.09
Be  0.8581  0.6575  0.7916  3 Br 2.08-2.09
Be  0.3425  0.1419  0.7084  3 Br 2.08-2.09
Tl  0.4098  0.5902  0.7500  8 Br 3.45-3.60
Tl  0.5902  0.4098  0.2500  8 Br 3.45-3.60